Crystalline Zr2Al3Ni at its relaxed geometry. Source: Alexandria, functional GGA-PBEsol.

```
12
Lattice="-0.864 3.072 0.177 -8.111 -2.188 -1.603 2.826 0.330 8.065" Properties=species:S:1:pos:R:3 pbc="T T T"
Al -5.293 -0.059 4.047
Zr -2.643 -0.929 3.231
Al -2.740 0.839 0.926
Ni -4.897 0.187 1.708
Al -0.856 1.273 2.592
Zr -4.055 -1.094 -0.802
Zr 0.000 0.000 0.000
Al -3.409 0.375 5.713
Al -6.658 -0.218 0.151
Ni -1.252 1.027 4.931
Al 0.509 1.432 6.488
Zr 1.413 0.165 4.033
```

Output
The total magnetization is 0.0 μB per cell. Its formation enthalpy at 0 K is -0.498 eV/atom.